A plane-wave DFT calculation with PBE-GGA was carried out for Zr7Bi2H2Pd after structural relaxation.

Output
VASP energy = -6.98 eV per atom
space-group type = No. 12

abc: 4.2640 4.2640 13.1104
angles: 80.54 80.54 90.02
Positions (direct):
1 Zr 0.5000 0.5000 0.0000
2 Zr 0.2949 0.2949 0.4056
3 Zr 0.7051 0.7051 0.5944
4 Zr 0.9082 0.4082 0.1823
5 Zr 0.4082 0.9082 0.1823
6 Zr 0.5918 0.0918 0.8177
7 Zr 0.0918 0.5918 0.8177
8 Bi 0.8179 0.8179 0.3608
9 Bi 0.1821 0.1821 0.6392
10 H 0.5831 0.5831 0.8348
11 H 0.4169 0.4169 0.1652
12 Pd 0.0000 0.0000 0.0000

***

A plane-wave DFT calculation with PBE-GGA was carried out for Ba3Li4Ga2 after structural relaxation.

Output
energy relative to the elements = -0.122 eV per atom
energy above the most stable polymorph in this dataset = 37 meV/atom
VASP energy = -2.29 eV per atom
space-group type = No. 12

abc: 5.1308 6.6963 9.6759
angles: 107.79 90.00 112.53
Positions (direct):
1 Ba 0.6348 0.2696 0.6808
2 Ba 0.0000 0.0000 0.0000
3 Ba 0.3652 0.7304 0.3192
4 Li 0.7196 0.4392 0.0826
5 Li 0.2804 0.5608 0.9174
6 Li 0.8684 0.7367 0.5748
7 Li 0.1316 0.2633 0.4252
8 Ga 0.6578 0.3156 0.3283
9 Ga 0.3422 0.6844 0.6717

***

A plane-wave DFT calculation with PBE-GGA was carried out for DyMgAlPt after structural relaxation.

Output
energy relative to the elements = -0.666 eV per atom
VASP energy = -4.66 eV per atom
space-group type = No. 216

abc: 4.8051 4.8051 4.8051
angles: 60.00 60.00 60.00
Positions (direct):
1 Mg 0.5000 0.5000 0.5000
2 Al 0.7500 0.7500 0.7500
3 Pt 0.2500 0.2500 0.2500
4 Dy 0.0000 0.0000 0.0000

***

A plane-wave DFT calculation with PBE-GGA was carried out for YSc2Pt after structural relaxation.

Output
energy relative to the elements = -0.478 eV per atom
energy above the most stable polymorph in this dataset = 228 meV/atom
VASP energy = -6.77 eV per atom
space-group type = No. 10

abc: 4.4056 3.5842 6.1995
angles: 71.40 90.00 90.00
Positions (direct):
1 Pt 0.5000 0.7500 0.7500
2 Sc 0.0000 0.9175 0.9641
3 Sc 0.0000 0.5825 0.5359
4 Y 0.5000 0.2500 0.2500

***

A plane-wave DFT calculation with PBE-GGA was carried out for TlSbSeI2 after structural relaxation.

Output
energy above the most stable polymorph in this dataset = 0 meV/atom
VASP energy = -2.46 eV per atom
space-group type = No. 123

abc: 5.9963 5.9963 5.4562
angles: 90.00 90.00 90.00
Positions (direct):
1 I 0.0000 0.5000 0.0000
2 I 0.5000 0.0000 0.0000
3 Sb 0.0000 0.0000 0.5000
4 Tl 0.5000 0.5000 0.5000
5 Se 0.0000 0.0000 0.0000

***

A plane-wave DFT calculation with PBE-GGA was carried out for LaAl3In after structural relaxation.

Output
energy relative to the elements = 0.408 eV per atom
energy above the most stable polymorph in this dataset = 0 meV/atom
VASP energy = -3.37 eV per atom
space-group type = No. 221

abc: 5.1835 5.1835 5.1835
angles: 90.00 90.00 90.00
Positions (direct):
1 In 0.0000 0.0000 0.0000
2 Al 0.0000 0.5000 0.0000
3 Al 0.0000 0.0000 0.5000
4 Al 0.5000 0.0000 0.0000
5 La 0.5000 0.5000 0.5000

***

A plane-wave DFT calculation with PBE-GGA was carried out for In2NiSn2 after structural relaxation.

Output
energy relative to the elements = 0.079 eV per atom
energy above the most stable polymorph in this dataset = 75 meV/atom
VASP energy = -3.77 eV per atom
space-group type = No. 127

abc: 6.7748 6.7748 5.3733
angles: 90.00 90.00 90.00
Positions (direct):
1 Ni 0.0000 0.0000 0.0000
2 Ni 0.5000 0.5000 0.0000
3 Sn 0.3420 0.8420 0.0000
4 Sn 0.8420 0.6580 0.0000
5 Sn 0.6580 0.1580 0.0000
6 Sn 0.1580 0.3420 0.0000
7 In 0.1695 0.6695 0.5000
8 In 0.6695 0.8305 0.5000
9 In 0.8305 0.3305 0.5000
10 In 0.3305 0.1695 0.5000

***

A plane-wave DFT calculation with PBE-GGA was carried out for AcAgSe after structural relaxation.

Output
VASP energy = -4.60 eV per atom
space-group type = No. 12

abc: 5.0153 5.0016 9.0213
angles: 73.90 73.91 59.97
Positions (direct):
1 Ag 0.6689 0.6678 0.9947
2 Ag 0.3311 0.3322 0.0053
3 Ac 0.0863 0.0857 0.7432
4 Ac 0.9137 0.9143 0.2568
5 Se 0.7889 0.7904 0.6324
6 Se 0.2111 0.2096 0.3676

***

A plane-wave DFT calculation with PBE-GGA was carried out for Ba7Sr2Ca after structural relaxation.

Output
energy relative to the elements = 0.250 eV per atom
energy above the most stable polymorph in this dataset = 0 meV/atom
VASP energy = -1.63 eV per atom
space-group type = No. 65

abc: 4.2621 12.5218 12.5218
angles: 106.39 90.00 90.00
Positions (direct):
1 Ba 0.0000 0.6754 0.3246
2 Ba 0.0000 0.3246 0.6754
3 Ba 0.5000 0.1330 0.3722
4 Ba 0.5000 0.8670 0.6278
5 Ba 0.5000 0.3722 0.1330
6 Ba 0.5000 0.6278 0.8670
7 Ba 0.5000 0.5000 0.5000
8 Sr 0.5000 0.8402 0.1598
9 Sr 0.5000 0.1598 0.8402
10 Ca 0.0000 0.0000 0.0000

***

A plane-wave DFT calculation with PBE-GGA was carried out for Sc2SnBi after structural relaxation.

Output
energy relative to the elements = -0.450 eV per atom
energy above the most stable polymorph in this dataset = 83 meV/atom
VASP energy = -5.59 eV per atom
space-group type = No. 160

abc: 4.0001 4.0001 8.0667
angles: 75.64 75.64 60.00
Positions (direct):
1 Sc 0.0810 0.0810 0.7569
2 Sc 0.2521 0.2521 0.2438
3 Sn 0.4987 0.4987 0.5039
4 Bi 0.6682 0.6682 0.9955

***

A plane-wave DFT calculation with PBE-GGA was carried out for InP2Au after structural relaxation.

Output
energy relative to the elements = 0.202 eV per atom
VASP energy = -4.01 eV per atom
space-group type = No. 139

abc: 4.6664 4.6664 4.6682
angles: 69.59 69.59 107.64
Positions (direct):
1 Au 0.5000 0.0000 0.5000
2 In 0.0000 0.5000 0.5000
3 P 0.0000 0.0000 0.0000
4 P 0.5000 0.5000 0.0000

***

A plane-wave DFT calculation with PBE-GGA was carried out for BaNdBi after structural relaxation.

Output
energy relative to the elements = -0.438 eV per atom
energy above the most stable polymorph in this dataset = 79 meV/atom
VASP energy = -3.96 eV per atom
space-group type = No. 156

abc: 4.8371 5.4636 5.4636
angles: 120.00 90.00 90.00
Positions (direct):
1 Nd 0.1686 0.0000 0.0000
2 Bi 0.1637 0.3333 0.6667
3 Ba 0.6677 0.6667 0.3333